Ni2Ag2MoO6 | PBE with a Hubbard U | relaxed

Calculated values
Total magnetization (μB/cell): 4.0
E_tot (eV/atom): -5.2378
Space-group type: C2/m (12)

Unit cell a=5.2162 b=5.2162 c=6.1089 alpha=98.14 beta=98.14 gamma=118.38
Last column: nearest neighbours and their distance in Å.
Positions (direct):
Ni (0.1644, 0.8356, 0.0000)  6 O 2.09-2.11
Ni (0.8356, 0.1644, 0.0000)  6 O 2.09-2.11
Ag (0.1853, 0.8147, 0.5000)  4 O 2.35-2.47
Ag (0.8147, 0.1853, 0.5000)  4 O 2.35-2.47
Mo (0.5000, 0.5000, 0.0000)  6 O 1.95-1.98
O (0.1325, 0.1325, 0.8107)  1 Mo 1.98, 2 Ni 2.11
O (0.2390, 0.5545, 0.1782)  1 Mo 1.95, 2 Ni 2.09-2.10
O (0.4455, 0.7610, 0.8218)  1 Mo 1.95, 2 Ni 2.09-2.10
O (0.5545, 0.2390, 0.1782)  1 Mo 1.95, 2 Ni 2.09-2.10
O (0.7610, 0.4455, 0.8218)  1 Mo 1.95, 2 Ni 2.09-2.10
O (0.8675, 0.8675, 0.1893)  1 Mo 1.98, 2 Ni 2.11